The following is a DFT calculation (PBE) of a geometry-optimized Pr2Sb4PdRh3 structure.

Cell and atoms, written as POSCAR:
```
Pr2Sb4PdRh3
1.0
4.598 0.000 0.000
0.000 4.598 0.000
0.000 0.000 10.449
Sb Rh Pr Pd
4 3 2 1
direct
0.000 0.500 0.368
0.000 0.000 0.000
0.500 0.500 0.000
0.500 0.000 0.632
0.000 0.500 0.121
0.500 0.000 0.879
0.000 0.000 0.500
0.000 0.500 0.745
0.500 0.000 0.255
0.500 0.500 0.500
```

Calculated values
The calculation puts the formation energy from raw total energies at -0.825 eV/atom.